No. 1
Material: NaCdSnTe3
Method: DFT, GGA-PBE
State: optimized geometry

## Properties
final energy	-3.03	eV per atom
magnetization	0.00	μB per formula unit

Structure (POSCAR):
```
NaCdSnTe3
1.0
-0.5829 -2.9428 -3.1389
7.8657 -0.4296 -1.0578
-1.6408 -8.1548 7.9500
Cd Te Na Sn
2 6 2 2
Direct
0.7500 0.9232 0.3826
0.2500 0.0768 0.6174
0.7500 0.4074 0.1427
0.7500 0.2682 0.5425
0.2500 0.7318 0.4575
0.2500 0.0295 0.8544
0.2500 0.5926 0.8573
0.7500 0.9705 0.1456
0.2500 0.3078 0.3293
0.7500 0.6922 0.6707
0.7500 0.3110 0.8807
0.2500 0.6890 0.1193
```

***

No. 2
Material: NaTmCdSn
Method: DFT, GGA-PBE
State: optimized geometry

## Properties
formation enthalpy at 0 K	-30.6	kJ/mol of atoms
magnetization	0.00	μB per formula unit

Structure (POSCAR):
```
NaTmCdSn
1.0
-1.4736 4.4343 -2.3451
-2.8509 -0.1810 -4.3787
-5.0195 1.4598 0.0865
Na Tm Sn Cd
1 1 1 1
Direct
0.0000 0.0000 0.0000
0.5000 0.5000 0.5000
0.7500 0.7500 0.7500
0.2500 0.2500 0.2500
```

***

No. 3
Material: NaZnCdSn
Method: DFT, GGA-PBE
State: optimized geometry

## Properties
formation enthalpy at 0 K	-1.3	kJ/mol of atoms
magnetization	0.00	μB per formula unit

Structure (POSCAR):
```
NaZnCdSn
1.0
-1.7382 4.5130 1.5009
-4.2208 0.2898 2.7826
0.2708 1.3220 4.8806
Cd Zn Sn Na
1 1 1 1
Direct
0.2500 0.2500 0.2500
0.7500 0.7500 0.7500
0.0000 0.0000 0.0000
0.5000 0.5000 0.5000
```